Record 1
A geometry-optimized Cr2CdFe structure. Source: Alexandria, functional PBE-GGA.

The value obtained for the formation energy is 0.43 eV per atom. Its final energy is -26.9 eV per formula unit.

Unit cell a=2.646 b=2.646 c=7.615 alpha=90.00 beta=90.00 gamma=90.00
Atoms (fractional coordinates):
Cd  0.500  0.500  0.750
Cr  0.000  0.000  0.043
Cr  0.000  0.000  0.457
Fe  0.500  0.500  0.250


Record 2
A geometry-optimized CrCdFe structure. Source: Alexandria, functional PBE-GGA.

The value obtained for the formation energy is 0.35 eV per atom. Its final energy is -18.0 eV per formula unit.

Unit cell a=5.801 b=5.801 c=5.801 alpha=151.85 beta=151.85 gamma=40.23
Each line ends with the local moment (μB).
Atoms (fractional coordinates):
Cd  0.003  0.003  0.000  0.00
Cr  0.305  0.305  0.000  -1.32
Fe  0.692  0.692  0.000  1.36


Record 3
A geometry-optimized CrCd2Fe structure. Source: Alexandria, functional PBE-GGA.

The value obtained for the formation energy is 0.46 eV per atom. Its final energy is -18.1 eV per formula unit.

Unit cell a=3.916 b=2.967 c=6.605 alpha=63.31 beta=90.00 gamma=90.00
Each line ends with the local moment (μB).
Atoms (fractional coordinates):
Cd  0.000  0.006  0.995  -0.05
Cd  0.000  0.494  0.505  -0.05
Cr  0.500  0.250  0.250  3.42
Fe  0.500  0.750  0.750  2.63


Record 4
A geometry-optimized Cr2CdFe structure. Source: Alexandria, functional PBE-GGA.

The value obtained for the formation energy is 0.48 eV per atom. Its final energy is -26.7 eV per formula unit.

Unit cell a=4.583 b=4.583 c=4.583 alpha=127.97 beta=127.97 gamma=76.68
Each line ends with the local moment (μB).
Atoms (fractional coordinates):
Cd  0.750  0.250  0.500  0.01
Cr  0.000  0.000  0.000  2.80
Cr  0.250  0.750  0.500  -2.38
Fe  0.500  0.500  0.000  2.29